{"formula": "Zn2CrN3", "functional": "PBEsol", "state": "relaxed", "lattice_angstrom": [[-0.690, 5.070, 0.799], [-5.316, -0.550, -1.098], [-3.488, -1.112, 4.045]], "species": ["Zn", "Zn", "Zn", "Zn", "Cr", "Cr", "N", "N", "N", "N", "N", "N"], "frac_coords": [[0.526, 0.501, 0.170], [0.526, 0.830, 0.499], [0.026, 0.499, 0.830], [0.026, 0.170, 0.501], [0.041, 0.838, 0.162], [0.541, 0.162, 0.838], [0.138, 0.530, 0.165], [0.138, 0.835, 0.470], [0.638, 0.470, 0.835], [0.638, 0.165, 0.530], [0.687, 0.858, 0.142], [0.187, 0.142, 0.858]], "e_form_raw_ev_per_fu": -1.55}



{"formula": "CaTa2Cd", "functional": "PBEsol", "state": "relaxed", "lattice_angstrom": [[-1.438, 2.344, 2.090], [-2.745, -2.055, 0.416], [3.246, -3.167, 5.784]], "species": ["Ca", "Cd", "Ta", "Ta"], "frac_coords": [[0.000, 0.000, 0.493], [0.500, 0.500, 0.784], [0.000, 0.000, 0.032], [0.500, 0.500, 0.192]], "ef_ev_per_atom": 0.28}



{"formula": "MnHgIO2", "functional": "PBEsol", "state": "relaxed", "lattice_angstrom": [[4.121, 0.000, 0.000], [0.000, 4.121, 0.000], [0.000, 0.000, 6.206]], "species": ["I", "Mn", "Hg", "O", "O"], "frac_coords": [[0.000, 0.000, 0.500], [0.500, 0.500, 0.500], [0.000, 0.000, 0.000], [0.000, 0.500, 0.000], [0.500, 0.000, 0.000]], "e_form_raw_ev_per_fu": 2.74}



{"formula": "Cr2MoP", "functional": "PBEsol", "state": "relaxed", "lattice_angstrom": [[2.722, 0.000, 0.000], [1.361, 2.357, 0.000], [1.361, 0.786, 7.832]], "species": ["Cr", "Cr", "Mo", "P"], "frac_coords": [[0.258, 0.258, 0.225], [0.742, 0.742, 0.775], [0.500, 0.500, 0.500], [0.000, 0.000, 0.000]], "ef_ev_per_atom": 0.15}



{"formula": "BaLi2CrAs", "functional": "PBEsol", "state": "relaxed", "lattice_angstrom": [[-2.199, -3.211, 3.029], [3.586, 0.674, 3.318], [-3.209, 4.591, 2.536]], "species": ["Cr", "As", "Ba", "Li", "Li"], "frac_coords": [[0.000, 0.000, 0.000], [0.500, 0.500, 0.500], [0.000, 0.000, 0.500], [0.000, 0.500, 0.000], [0.500, 0.000, 0.000]], "ef_ev_per_atom": 0.62}



{"formula": "LiY2NiMo", "functional": "PBEsol", "state": "relaxed", "lattice_angstrom": [[4.116, 0.000, 0.000], [0.000, 4.917, 0.000], [0.000, 0.000, 4.917]], "species": ["Y", "Y", "Ni", "Mo", "Li"], "frac_coords": [[0.000, 0.000, 0.500], [0.000, 0.500, 0.000], [0.500, 0.500, 0.500], [0.500, 0.000, 0.000], [0.000, 0.000, 0.000]], "ef_ev_per_atom": 1.05}



{"formula": "Al2FeCS", "functional": "PBEsol", "state": "relaxed", "lattice_angstrom": [[3.747, 0.000, 0.000], [0.000, 4.144, 0.000], [0.000, 0.000, 4.144]], "species": ["C", "S", "Fe", "Al", "Al"], "frac_coords": [[0.000, 0.000, 0.000], [0.500, 0.500, 0.500], [0.500, 0.000, 0.000], [0.000, 0.000, 0.500], [0.000, 0.500, 0.000]], "e_form_raw_ev_per_fu": 1.16}



{"formula": "SiPbW2", "functional": "PBEsol", "state": "relaxed", "lattice_angstrom": [[3.304, 0.000, 0.000], [0.000, 4.345, 0.000], [0.000, 0.000, 4.737]], "species": ["Pb", "Si", "W", "W"], "frac_coords": [[0.500, 0.500, 0.000], [0.000, 0.500, 0.500], [0.000, 0.000, 0.000], [0.500, 0.000, 0.500]], "e_form_raw_ev_per_fu": 3.60, "de_polymorph_kj_per_mol_atoms": 0.0}



{"formula": "Ta5Mo3", "functional": "PBEsol", "state": "relaxed", "lattice_angstrom": [[-0.909, 2.501, 1.784], [-0.304, -1.925, 2.543], [12.399, 2.239, 3.178]], "species": ["Mo", "Mo", "Mo", "Ta", "Ta", "Ta", "Ta", "Ta"], "frac_coords": [[0.000, 0.000, 0.618], [0.500, 0.500, 0.500], [0.000, 0.000, 0.382], [0.500, 0.500, 0.260], [0.000, 0.000, 0.129], [0.500, 0.500, 0.000], [0.000, 0.000, 0.871], [0.500, 0.500, 0.740]], "de_polymorph_kj_per_mol_atoms": 6.6, "ef_ev_per_atom": -0.06}



{"formula": "ReAs2P", "functional": "PBEsol", "state": "relaxed", "lattice_angstrom": [[-2.641, 0.242, 1.426], [-0.589, -1.742, 2.384], [2.227, 5.388, 6.390]], "species": ["As", "As", "P", "Re"], "frac_coords": [[0.983, 0.983, 0.050], [0.763, 0.763, 0.710], [0.510, 0.510, 0.469], [0.243, 0.243, 0.271]], "ef_ev_per_atom": 0.08}



{"formula": "Zr2PdNCl", "functional": "PBEsol", "state": "relaxed", "lattice_angstrom": [[4.447, 0.000, 0.000], [0.000, 4.980, 0.000], [0.000, 0.000, 4.980]], "species": ["N", "Zr", "Zr", "Pd", "Cl"], "frac_coords": [[0.500, 0.500, 0.500], [0.000, 0.000, 0.500], [0.000, 0.500, 0.000], [0.000, 0.000, 0.000], [0.500, 0.000, 0.000]], "e_form_raw_ev_per_fu": 6.31}



{"formula": "TaBeAs2", "functional": "PBEsol", "state": "relaxed", "lattice_angstrom": [[3.320, 0.000, 0.000], [0.000, 4.638, 0.000], [-1.660, -2.319, 3.784]], "species": ["Be", "As", "As", "Ta"], "frac_coords": [[0.000, 0.500, 0.000], [0.713, 0.713, 0.426], [0.287, 0.287, 0.574], [0.500, 0.000, 0.000]], "ef_ev_per_atom": -0.06}



Copy entry 9 word for word.
{"formula": "Ta5Mo3", "functional": "PBEsol", "state": "relaxed", "lattice_angstrom": [[-0.909, 2.501, 1.784], [-0.304, -1.925, 2.543], [12.399, 2.239, 3.178]], "species": ["Mo", "Mo", "Mo", "Ta", "Ta", "Ta", "Ta", "Ta"], "frac_coords": [[0.000, 0.000, 0.618], [0.500, 0.500, 0.500], [0.000, 0.000, 0.382], [0.500, 0.500, 0.260], [0.000, 0.000, 0.129], [0.500, 0.500, 0.000], [0.000, 0.000, 0.871], [0.500, 0.500, 0.740]], "de_polymorph_kj_per_mol_atoms": 6.6, "ef_ev_per_atom": -0.06}